Here is a relaxed structure of CeSi2Ir5 from Alexandria via LeMat-Bulk. Energies are from PBE.

Computed properties:
SG: Immm, No. 71
Calculated volume, Å³ per cell: 129.7

abc: 6.2368 6.2368 6.2368
angles: 143.57 112.64 79.07
Last column: nearest neighbours and their distance in Å.
Fractional coordinates of all 8 atoms:
Ce: 0.0000 0.0000 0.0000  4 Si 3.14, 10 Ir 3.17-3.46
Si: 0.2555 0.7555 0.5000  7 Ir 2.33-2.58
Si: 0.7445 0.2445 0.5000  7 Ir 2.33-2.58
Ir: 0.1551 0.3556 0.7995  3 Si 2.33-2.58
Ir: 0.4439 0.6444 0.7995  3 Si 2.33-2.58
Ir: 0.5000 0.0000 0.5000  2 Si 2.35
Ir: 0.5561 0.3556 0.2005  3 Si 2.33-2.58
Ir: 0.8449 0.6444 0.2005  3 Si 2.33-2.58

Here is a relaxed structure of CeSi4Ir2 from Alexandria via LeMat-Bulk. Energies are from PBE.

Computed properties:
SG: Pnma, No. 62
Calculated volume, Å³ per cell: 452.0

abc: 16.6159 4.2072 6.4655
angles: 90.00 90.00 90.00
Last column: nearest neighbours and their distance in Å.
Fractional coordinates of all 28 atoms:
Ce: 0.1411 0.2500 0.0015  9 Si 2.91-3.18, 4 Ir 3.22-3.23
Ce: 0.3589 0.7500 0.5015  9 Si 2.91-3.18, 4 Ir 3.22-3.23
Ce: 0.6411 0.2500 0.4985  9 Si 2.91-3.18, 4 Ir 3.22-3.23
Ce: 0.8589 0.7500 0.9985  9 Si 2.91-3.18, 4 Ir 3.22-3.23
Si: 0.0334 0.7500 0.1415  3 Ir 2.47-2.54, 1 Si 2.65
Si: 0.0645 0.2500 0.5356  4 Ir 2.44-2.57, 1 Si 2.65
Si: 0.1818 0.7500 0.6872  4 Ir 2.52-2.62, 1 Si 2.62
Si: 0.1919 0.7500 0.2826  3 Ir 2.50-2.51, 2 Si 2.62-2.79
Si: 0.3081 0.2500 0.7826  3 Ir 2.50-2.51, 2 Si 2.62-2.79
Si: 0.3182 0.2500 0.1872  4 Ir 2.52-2.62, 1 Si 2.62
Si: 0.4355 0.7500 0.0356  4 Ir 2.44-2.57, 1 Si 2.65
Si: 0.4666 0.2500 0.6415  3 Ir 2.47-2.54, 1 Si 2.65
Si: 0.5334 0.7500 0.3585  3 Ir 2.47-2.54, 1 Si 2.65
Si: 0.5645 0.2500 0.9644  4 Ir 2.44-2.57, 1 Si 2.65
Si: 0.6818 0.7500 0.8128  4 Ir 2.52-2.62, 1 Si 2.62
Si: 0.6919 0.7500 0.2174  3 Ir 2.50-2.51, 2 Si 2.62-2.79
Si: 0.8081 0.2500 0.7174  3 Ir 2.50-2.51, 2 Si 2.62-2.79
Si: 0.8182 0.2500 0.3128  4 Ir 2.52-2.62, 1 Si 2.62
Si: 0.9355 0.7500 0.4644  4 Ir 2.44-2.57, 1 Si 2.65
Si: 0.9666 0.2500 0.8585  3 Ir 2.47-2.54, 1 Si 2.65
Ir: 0.0321 0.7500 0.7483  7 Si 2.44-2.57
Ir: 0.2112 0.2500 0.4842  7 Si 2.46-2.62
Ir: 0.2888 0.7500 0.9842  7 Si 2.46-2.62
Ir: 0.4679 0.2500 0.2483  7 Si 2.44-2.57
Ir: 0.5321 0.7500 0.7517  7 Si 2.44-2.57
Ir: 0.7112 0.2500 0.0158  7 Si 2.46-2.62
Ir: 0.7888 0.7500 0.5158  7 Si 2.46-2.62
Ir: 0.9679 0.2500 0.2517  7 Si 2.44-2.57

Here is a relaxed structure of CeSi3Ir5 from Alexandria via LeMat-Bulk. Energies are from PBE.

Computed properties:
SG: Cmcm, No. 63
Calculated volume, Å³ per cell: 301.5

abc: 6.4850 6.4850 12.3958
angles: 90.00 90.00 144.66
Last column: nearest neighbours and their distance in Å.
Fractional coordinates of all 18 atoms:
Ce: 0.1577 0.8423 0.7500  7 Si 3.30-3.43, 10 Ir 3.39-3.66
Ce: 0.8423 0.1577 0.2500  7 Si 3.30-3.43, 10 Ir 3.39-3.66
Si: 0.1198 0.8802 0.2500  6 Ir 2.42-2.49
Si: 0.3863 0.6137 0.0413  5 Ir 2.28-2.47
Si: 0.3863 0.6137 0.4587  5 Ir 2.28-2.47
Si: 0.6137 0.3863 0.5413  5 Ir 2.28-2.47
Si: 0.6137 0.3863 0.9587  5 Ir 2.28-2.47
Si: 0.8802 0.1198 0.7500  6 Ir 2.42-2.49
Ir: 0.0000 0.0000 0.0000  4 Si 2.47, 6 Ir 2.69-2.75
Ir: 0.0000 0.0000 0.5000  4 Si 2.47, 6 Ir 2.69-2.75
Ir: 0.2045 0.7955 0.0743  2 Si 2.28-2.42
Ir: 0.2045 0.7955 0.4257  2 Si 2.28-2.42
Ir: 0.4467 0.5533 0.6460  4 Si 2.44-2.49, 1 Ir 2.58
Ir: 0.4467 0.5533 0.8540  4 Si 2.44-2.49, 1 Ir 2.58
Ir: 0.5533 0.4467 0.1460  4 Si 2.44-2.49, 1 Ir 2.58
Ir: 0.5533 0.4467 0.3540  4 Si 2.44-2.49, 1 Ir 2.58
Ir: 0.7955 0.2045 0.5743  2 Si 2.28-2.42
Ir: 0.7955 0.2045 0.9257  2 Si 2.28-2.42

Here is a relaxed structure of Ce2SiIr from Alexandria via LeMat-Bulk. Energies are from PBE.

Computed properties:
SG: P4/mmm, No. 123
Calculated volume, Å³ per cell: 80.9

abc: 4.3751 4.3751 4.2259
angles: 90.00 90.00 90.00
Last column: nearest neighbours and their distance in Å.
Fractional coordinates of all 4 atoms:
Ce: 0.0000 0.5000 0.0000  4 Ir 3.04, 4 Si 3.04, 4 Ce 3.09
Ce: 0.5000 0.0000 0.0000  4 Ir 3.04, 4 Si 3.04, 4 Ce 3.09
Si: 0.0000 0.0000 0.5000  8 Ce 3.04, 4 Ir 3.09
Ir: 0.5000 0.5000 0.5000  8 Ce 3.04, 4 Si 3.09

Here is a relaxed structure of Ce4Si6Ir7 from Alexandria via LeMat-Bulk. Energies are from PBE.

Computed properties:
SG: Im-3m, No. 229
Calculated volume, Å³ per cell: 294.3

abc: 7.2580 7.2580 7.2580
angles: 109.47 109.47 109.47
Last column: nearest neighbours and their distance in Å.
Fractional coordinates of all 17 atoms:
Ce: 0.0000 0.0000 0.5000  6 Ir 2.96, 6 Si 3.03
Ce: 0.0000 0.5000 0.0000  6 Ir 2.96, 6 Si 3.03
Ce: 0.5000 0.0000 0.0000  6 Ir 2.96, 6 Si 3.03
Ce: 0.5000 0.5000 0.5000  6 Ir 2.96, 6 Si 3.03
Si: 0.0000 0.3261 0.3261  5 Ir 2.55-2.73
Si: 0.0000 0.6739 0.6739  5 Ir 2.55-2.73
Si: 0.3261 0.0000 0.3261  5 Ir 2.55-2.73
Si: 0.3261 0.3261 0.0000  5 Ir 2.55-2.73
Si: 0.6739 0.0000 0.6739  5 Ir 2.55-2.73
Si: 0.6739 0.6739 0.0000  5 Ir 2.55-2.73
Ir: 0.0000 0.0000 0.0000  6 Si 2.73
Ir: 0.2500 0.5000 0.7500  4 Si 2.55
Ir: 0.2500 0.7500 0.5000  4 Si 2.55
Ir: 0.5000 0.2500 0.7500  4 Si 2.55
Ir: 0.5000 0.7500 0.2500  4 Si 2.55
Ir: 0.7500 0.2500 0.5000  4 Si 2.55
Ir: 0.7500 0.5000 0.2500  4 Si 2.55

Here is a relaxed structure of Ce2SiIr from Alexandria via LeMat-Bulk. Energies are from PBE.

Computed properties:
SG: P2_1/m, No. 11
Calculated volume, Å³ per cell: 182.9

abc: 5.8021 4.0681 8.1931
angles: 90.00 108.94 90.00
Last column: nearest neighbours and their distance in Å.
Fractional coordinates of all 8 atoms:
Ce: 0.2004 0.2500 0.4130  3 Ir 2.92-3.25, 4 Si 3.03-3.07
Ce: 0.2801 0.7500 0.0619  4 Ir 2.93-3.23, 3 Si 3.05-3.10
Ce: 0.7199 0.2500 0.9381  4 Ir 2.93-3.23, 3 Si 3.05-3.10
Ce: 0.7996 0.7500 0.5870  3 Ir 2.92-3.25, 4 Si 3.03-3.07
Si: 0.3520 0.7500 0.7099  2 Ir 2.60
Si: 0.6480 0.2500 0.2901  2 Ir 2.60
Ir: 0.1318 0.2500 0.7908  2 Si 2.60
Ir: 0.8682 0.7500 0.2092  2 Si 2.60

Computed values of formation energy without anion corrections (unit: eV/atom) for the preceding records, in sequence: -0.715, -0.782, -0.671, -0.593, -0.936, -0.750.
Computed values of total moment (unit: μB per formula unit) for the preceding records, in sequence: 0.00, 0.21, 0.66, 0.00, 1.26, 0.86.
Computed values of density (unit: g/cm³) for the preceding records, in sequence: 14.8, 9.4, 13.1, 10.3, 11.7, 9.1.